# 1
{"formula": "BaRu2Rh", "functional": "SCAN", "state": "single point on PBEsol structure", "lattice": [[4.3336, 0.0000, 0.0000], [2.1668, 3.7530, 0.0000], [2.1668, 1.2510, 5.6567]], "species": ["Ru", "Ba", "Rh", "Ru"], "frac_coords": [[0.8146, 0.8146, 0.5561], [0.0000, 0.0000, 0.0000], [0.5000, 0.5000, 0.5000], [0.1854, 0.1854, 0.4439]], "dos_ef_per_ev_atom": 1.2077, "e_form_ev_per_atom": 0.303, "final_energy_ev_per_atom": -35.44, "vol_a3_per_atom": 23.00}

---

# 2
{"formula": "Ba2RuRhS", "functional": "SCAN", "state": "single point on PBEsol structure", "lattice": [[-2.3829, 3.5260, 1.2931], [0.8140, -1.4765, 5.5264], [4.8103, 3.1974, 0.1457]], "species": ["Rh", "S", "Ru", "Ba", "Ba"], "frac_coords": [[0.5000, 0.0000, 0.0000], [0.5000, 0.5000, 0.5000], [0.0000, 0.0000, 0.0000], [0.0000, 0.5000, 0.0000], [0.0000, 0.0000, 0.5000]], "dos_ef_per_ev_atom": 0.6991, "final_energy_ev_per_atom": -31.59, "e_form_raw_kcal_per_mol_atoms": -2.8, "vol_a3_per_atom": 29.70}

---

# 3
{"formula": "BaSbRh2", "functional": "SCAN", "state": "single point on PBEsol structure", "lattice": [[4.4722, 0.0000, 0.0000], [2.2361, 3.8730, 0.0000], [2.2361, 1.2910, 5.5577]], "species": ["Rh", "Ba", "Sb", "Rh"], "frac_coords": [[0.1950, 0.1950, 0.4150], [0.0000, 0.0000, 0.0000], [0.5000, 0.5000, 0.5000], [0.8050, 0.8050, 0.5850]], "dos_ef_per_ev_atom": 0.3589, "final_energy_ev_per_atom": -36.71, "e_form_raw_kcal_per_mol_atoms": -14.3, "vol_a3_per_atom": 24.07}

---

# 4
{"formula": "Ba3SbRh", "functional": "SCAN", "state": "single point on PBEsol structure", "lattice": [[-3.4488, -5.2121, 1.4365], [3.8534, -1.1747, 4.9895], [-3.7922, 3.5466, 3.7636]], "species": ["Rh", "Sb", "Ba", "Ba", "Ba"], "frac_coords": [[0.5000, 0.5000, 0.5000], [0.0000, 0.0000, 0.0000], [0.0000, 0.0000, 0.5000], [0.0000, 0.5000, 0.0000], [0.5000, 0.0000, 0.0000]], "dos_ef_per_ev_atom": 0.7823, "final_energy_ev_per_atom": -37.75, "e_form_raw_kcal_per_mol_atoms": 4.3, "vol_a3_per_atom": 52.74}

---

# 5
{"formula": "BaSb2Rh", "functional": "SCAN", "state": "single point on PBEsol structure", "lattice": [[-0.0277, -1.6143, 3.0946], [0.8135, -3.3888, -1.7605], [7.2520, 3.9175, 0.1401]], "species": ["Rh", "Ba", "Sb", "Sb"], "frac_coords": [[0.2919, 0.7919, 0.5839], [0.5577, 0.5577, 0.1153], [0.7350, 0.2350, 0.4701], [0.9153, 0.9153, 0.8307]], "dos_ef_per_ev_atom": 0.4998, "final_energy_ev_per_atom": -37.41, "e_form_raw_kcal_per_mol_atoms": -10.3, "vol_a3_per_atom": 26.63}

---

# 6
{"formula": "BaSb2Rh", "functional": "SCAN", "state": "single point on PBEsol structure", "lattice": [[-2.6937, 3.2261, -1.2094], [-1.6286, -3.9351, 1.0378], [1.4263, 3.3701, 5.8131]], "species": ["Sb", "Ba", "Rh", "Sb"], "frac_coords": [[0.2173, 0.4345, 0.1511], [0.0000, 0.0000, 0.5000], [0.5000, 0.0000, 0.0000], [0.7827, 0.5655, 0.8489]], "dos_ef_per_ev_atom": 0.3254, "final_energy_ev_per_atom": -37.75, "e_form_raw_kcal_per_mol_atoms": -18.2, "vol_a3_per_atom": 26.55}

---

# 7
{"formula": "BaSbRh2", "functional": "SCAN", "state": "single point on PBEsol structure", "lattice": [[-3.8266, 1.5196, 1.1231], [0.4711, -1.9991, 4.3098], [2.0232, 4.8022, 0.3959]], "species": ["Ba", "Rh", "Sb", "Rh"], "frac_coords": [[0.5000, 0.2083, 0.7587], [0.0000, 0.9974, 0.1391], [0.0000, 0.5363, 0.3695], [0.5000, 0.7580, 0.2327]], "dos_ef_per_ev_atom": 0.9653, "final_energy_ev_per_atom": -36.42, "e_form_raw_kcal_per_mol_atoms": -7.7, "vol_a3_per_atom": 25.57}

---

# 8
{"formula": "BaSbRh2", "functional": "SCAN", "state": "single point on PBEsol structure", "lattice": [[3.6389, 0.0000, 0.0000], [0.0000, 4.7372, 0.0000], [0.0000, 0.0000, 4.7372]], "species": ["Rh", "Ba", "Sb", "Rh"], "frac_coords": [[0.0000, 0.0000, 0.5000], [0.5000, 0.0000, 0.0000], [0.5000, 0.5000, 0.5000], [0.0000, 0.5000, 0.0000]], "dos_ef_per_ev_atom": 0.6842, "final_energy_ev_per_atom": -36.09, "e_form_raw_kcal_per_mol_atoms": 0.0, "vol_a3_per_atom": 20.41}

---

# 9
{"formula": "BaSb2Rh", "functional": "SCAN", "state": "single point on PBEsol structure", "lattice": [[-4.1291, 0.4054, -1.9113], [-1.9450, -1.3670, 3.9007], [-0.2369, 4.5668, 1.4816]], "species": ["Rh", "Sb", "Sb", "Ba"], "frac_coords": [[0.5000, 0.5000, 0.5000], [0.5000, 0.0000, 0.0000], [0.0000, 0.5000, 0.0000], [0.0000, 0.0000, 0.5000]], "dos_ef_per_ev_atom": 0.5869, "final_energy_ev_per_atom": -37.03, "e_form_raw_kcal_per_mol_atoms": -1.6, "vol_a3_per_atom": 25.08}

---

# 10
{"formula": "BaScRh2", "functional": "SCAN", "state": "single point on PBEsol structure", "lattice": [[3.2784, 0.0000, 0.0188], [0.0000, 3.2784, 0.0000], [-0.0387, 0.0000, 7.5092]], "species": ["Rh", "Sc", "Ba", "Rh"], "frac_coords": [[0.0004, 0.0000, 0.8046], [0.5000, 0.5000, 0.0000], [0.5000, 0.5000, 0.5000], [0.9996, 0.0000, 0.1954]], "dos_ef_per_ev_atom": 0.4621, "e_form_ev_per_atom": -0.460, "final_energy_ev_per_atom": -30.79, "vol_a3_per_atom": 20.18}

---

# 11
{"formula": "BaScRh2", "functional": "SCAN", "state": "single point on PBEsol structure", "lattice": [[4.8518, 0.0000, 0.0000], [2.4259, 4.2018, 0.0000], [2.4259, 1.4006, 3.9615]], "species": ["Rh", "Rh", "Ba", "Sc"], "frac_coords": [[0.2500, 0.2500, 0.2500], [0.7500, 0.7500, 0.7500], [0.0000, 0.0000, 0.0000], [0.5000, 0.5000, 0.5000]], "dos_ef_per_ev_atom": 0.4891, "e_form_ev_per_atom": -0.164, "final_energy_ev_per_atom": -30.50, "vol_a3_per_atom": 20.19}

---

# 12
{"formula": "BaRhSe3", "functional": "SCAN", "state": "single point on PBEsol structure", "lattice": [[-3.4797, 2.9955, 1.8433], [-3.1246, -1.4423, -3.5546], [-1.6147, -3.6641, 2.9062]], "species": ["Se", "Se", "Se", "Ba", "Rh"], "frac_coords": [[0.5000, 0.0000, 0.0000], [0.0000, 0.0000, 0.5000], [0.0000, 0.5000, 0.0000], [0.5000, 0.5000, 0.5000], [0.0000, 0.0000, 0.0000]], "dos_ef_per_ev_atom": 1.5874, "final_energy_ev_per_atom": -27.56, "e_form_raw_kcal_per_mol_atoms": -19.5, "vol_a3_per_atom": 24.22}

---

# 13
{"formula": "BaRhSe", "functional": "SCAN", "state": "single point on PBEsol structure", "lattice": [[4.2747, 0.0000, 0.0000], [-2.1373, 3.7020, 0.0000], [0.0000, 0.0000, 4.6235]], "species": ["Rh", "Se", "Ba"], "frac_coords": [[0.3333, 0.6667, 0.5000], [0.6667, 0.3333, 0.5000], [0.0000, 0.0000, 0.0000]], "dos_ef_per_ev_atom": 0.7200, "final_energy_ev_per_atom": -32.19, "e_form_raw_kcal_per_mol_atoms": -24.3, "vol_a3_per_atom": 24.39}

---

# 14
{"formula": "Ba2SiRh", "functional": "SCAN", "state": "single point on PBEsol structure", "lattice": [[-0.3492, 0.9155, -4.1284], [-0.4366, -4.8549, -1.0397], [-5.3870, 2.8117, 1.0792]], "species": ["Rh", "Ba", "Ba", "Si"], "frac_coords": [[0.0000, 0.6682, 0.3364], [0.0000, 0.9786, 0.9572], [0.5000, 0.2719, 0.5438], [0.5000, 0.5806, 0.1612]], "dos_ef_per_ev_atom": 0.5575, "final_energy_ev_per_atom": -31.19, "e_form_raw_kcal_per_mol_atoms": -10.9, "vol_a3_per_atom": 29.85}

---

# 15
{"formula": "BaSi9Rh2", "functional": "SCAN", "state": "single point on PBEsol structure", "lattice": [[-0.1936, 5.6912, 2.4451], [-5.7401, -1.1290, 2.0820], [3.9519, -0.9321, 10.3362]], "species": ["Si", "Rh", "Si", "Si", "Si", "Si", "Rh", "Si", "Si", "Rh", "Si", "Si", "Si", "Rh", "Ba", "Si", "Si", "Ba", "Si", "Si", "Si", "Si", "Si", "Si"], "frac_coords": [[0.8399, 0.4747, 0.3196], [0.5676, 0.2500, 0.8647], [0.4161, 0.8889, 0.9110], [0.1154, 0.7470, 0.3172], [0.6730, 0.6111, 0.9110], [0.1595, 0.9747, 0.6804], [0.9311, 0.2500, 0.1378], [0.4326, 0.2470, 0.6828], [0.7495, 0.2500, 0.5011], [0.0689, 0.7500, 0.8622], [0.2505, 0.7500, 0.4989], [0.0845, 0.8895, 0.0897], [0.3270, 0.3889, 0.0890], [0.4324, 0.7500, 0.1353], [0.6866, 0.7500, 0.6268], [0.1601, 0.5253, 0.6804], [0.8846, 0.2530, 0.6828], [0.3134, 0.2500, 0.3732], [0.8257, 0.6105, 0.0897], [0.9155, 0.1105, 0.9103], [0.5674, 0.7530, 0.3172], [0.5839, 0.1111, 0.0890], [0.8405, 0.0253, 0.3196], [0.1743, 0.3895, 0.9103]], "dos_ef_per_ev_atom": 0.0133, "final_energy_ev_per_atom": -16.84, "e_form_raw_kcal_per_mol_atoms": -9.3, "vol_a3_per_atom": 17.10}

---

# 16
{"formula": "Ba2SiRh", "functional": "SCAN", "state": "single point on PBEsol structure", "lattice": [[-2.7018, 2.1938, -1.8700], [1.4453, -2.2693, -4.7505], [-2.8880, -3.6877, 4.0201]], "species": ["Ba", "Rh", "Ba", "Si"], "frac_coords": [[0.7773, 0.7773, 0.5546], [0.5742, 0.0742, 0.1485], [0.9656, 0.4656, 0.9312], [0.1828, 0.1828, 0.3657]], "dos_ef_per_ev_atom": 0.3832, "final_energy_ev_per_atom": -31.15, "e_form_raw_kcal_per_mol_atoms": -9.9, "vol_a3_per_atom": 27.89}

---

# 17
{"formula": "Ba3SiRh", "functional": "SCAN", "state": "single point on PBEsol structure", "lattice": [[-4.5988, -3.1638, 1.2048], [-1.1790, -0.4083, -5.5726], [3.1735, -4.7364, -0.3243]], "species": ["Ba", "Ba", "Ba", "Si", "Rh"], "frac_coords": [[0.0000, 0.5000, 0.0000], [0.0000, 0.0000, 0.5000], [0.5000, 0.0000, 0.0000], [0.5000, 0.5000, 0.5000], [0.0000, 0.0000, 0.0000]], "dos_ef_per_ev_atom": 0.9611, "final_energy_ev_per_atom": -32.48, "e_form_raw_kcal_per_mol_atoms": 0.1, "vol_a3_per_atom": 37.24}

---

# 18
{"formula": "BaSi3Rh", "functional": "SCAN", "state": "single point on PBEsol structure", "lattice": [[-3.8949, -1.3575, -3.2134], [3.3740, -0.2425, -3.9871], [0.8861, -5.0436, 1.0566]], "species": ["Si", "Si", "Si", "Ba", "Rh"], "frac_coords": [[0.5000, 0.0000, 0.0000], [0.0000, 0.0000, 0.5000], [0.0000, 0.5000, 0.0000], [0.0000, 0.0000, 0.0000], [0.5000, 0.5000, 0.5000]], "dos_ef_per_ev_atom": 1.0048, "final_energy_ev_per_atom": -18.09, "e_form_raw_kcal_per_mol_atoms": 59.6, "vol_a3_per_atom": 28.59}

---

# 19
{"formula": "Ba2SiRh", "functional": "SCAN", "state": "single point on PBEsol structure", "lattice": [[-1.8839, 4.6477, 1.3590], [-2.1994, 0.6496, 4.6623], [2.4107, 2.8172, 3.6399]], "species": ["Ba", "Rh", "Ba", "Si"], "frac_coords": [[0.0000, 0.0000, 0.0000], [0.5000, 0.5000, 0.5000], [0.7500, 0.7500, 0.7500], [0.2500, 0.2500, 0.2500]], "dos_ef_per_ev_atom": 1.3003, "final_energy_ev_per_atom": -30.58, "e_form_raw_kcal_per_mol_atoms": 3.3, "vol_a3_per_atom": 24.80}

---

# 20
{"formula": "Ba2SiRh", "functional": "SCAN", "state": "single point on PBEsol structure", "lattice": [[4.2280, 0.0000, 0.0000], [2.1140, 3.6616, 0.0000], [2.1140, 1.2205, 8.8040]], "species": ["Si", "Rh", "Ba", "Ba"], "frac_coords": [[0.2083, 0.2083, 0.3751], [0.5417, 0.5417, 0.3749], [0.9584, 0.9584, 0.1248], [0.7916, 0.7916, 0.6252]], "dos_ef_per_ev_atom": 1.0104, "final_energy_ev_per_atom": -31.23, "e_form_raw_kcal_per_mol_atoms": -11.8, "vol_a3_per_atom": 34.07}

---

| no. | mass density (Mg/m³) |
| --- | --- |
| 1 | 7.98 |
| 2 | 5.71 |
| 3 | 8.02 |
| 4 | 4.01 |
| 5 | 7.54 |
| 6 | 7.56 |
| 7 | 7.55 |
| 8 | 9.45 |
| 9 | 8.01 |
| 10 | 7.98 |
| 11 | 7.98 |
| 12 | 6.54 |
| 13 | 7.24 |
| 14 | 5.64 |
| 15 | 4.82 |
| 16 | 6.04 |
| 17 | 4.84 |
| 18 | 3.77 |
| 19 | 6.79 |
| 20 | 4.94 |